This record from Alexandria via LeMat-Bulk describes a geometry-optimized ZnCuIr structure. The functional is PBE.

Summary:
Energy relative to the lowest polymorph listed for this composition, kJ/mol of formula units: 13

Cell: 4.1838 4.1838 2.6792 Å, 90.00 90.00 120.00°
Closest atoms and distances in Å follow each position.
Space group P-6m2 (No. 187)
Symmetry-distinct sites (fractional):
Zn (0.0000, 0.0000, 0.0000)  3 Cu 2.42, 2 Zn 2.68
Cu (0.3333, 0.6667, 0.0000)  3 Zn 2.42, 2 Cu 2.68
Ir (0.6667, 0.3333, 0.5000)  2 Ir 2.68, 6 Zn 2.76, 6 Cu 2.76


This record from Alexandria via LeMat-Bulk describes a geometry-optimized Zn4Cu4Ir structure. The functional is PBE.

Cell: 7.8844 7.8844 3.8269 Å, 90.00 90.00 90.00°
Closest atoms and distances in Å follow each position.
Space group I4/mmm (No. 139)
Symmetry-distinct sites (fractional):
Zn (0.1671, 0.1671, 0.0000)  6 Cu 2.63-2.69, 4 Zn 2.63-2.66, 2 Ir 2.67
Cu (0.0000, 0.3398, 0.5000)  5 Cu 2.53-2.62, 6 Zn 2.63-2.69, 1 Ir 2.68
Ir (0.0000, 0.0000, 0.5000)  8 Zn 2.67, 4 Cu 2.68


This record from Alexandria via LeMat-Bulk describes a geometry-optimized Zn3Cu5Ir structure. The functional is PBE.

Cell: 6.8388 6.8388 10.9459 Å, 90.00 90.00 90.00°
Closest atoms and distances in Å follow each position.
Space group I4/mcm (No. 140)
Symmetry-distinct sites (fractional):
Zn (0.0000, 0.0000, 0.2500)  10 Cu 2.74-2.75
Zn (0.1146, 0.3854, 0.0000)  1 Zn 2.22, 2 Cu 2.26
Cu (0.0000, 0.0000, 0.0000)  6 Zn 2.74-2.75, 8 Cu 2.87
Cu (0.2093, 0.2907, 0.3639)  1 Zn 2.26, 1 Ir 2.38
Ir (0.0000, 0.5000, 0.2500)  4 Cu 2.38


This record from Alexandria via LeMat-Bulk describes a geometry-optimized ZnCu2Ir structure. The functional is PBE.

Cell: 2.6730 2.6730 25.7918 Å, 90.00 90.00 120.00°
Closest atoms and distances in Å follow each position.
Space group R-3m (No. 166, hexagonal axes)
Symmetry-distinct sites (fractional):
Zn (0.0000, 0.0000, 0.0000)  6 Cu 2.61, 6 Zn 2.67
Cu (0.0000, 0.0000, 0.2517)  3 Zn 2.61, 6 Cu 2.67, 3 Ir 2.68
Ir (0.0000, 0.0000, 0.5000)  6 Ir 2.67, 6 Cu 2.68


This record from Alexandria via LeMat-Bulk describes a geometry-optimized Zn4CuIr structure. The functional is PBE.

Summary:
Energy relative to the lowest polymorph listed for this composition, kJ/mol of formula units: 0

Cell: 3.8989 10.9826 7.8088 Å, 90.00 90.00 90.00°
Closest atoms and distances in Å follow each position.
Space group Cmcm (No. 63)
Symmetry-distinct sites (fractional):
Zn (0.0000, 0.0000, 0.0000)  2 Ir 2.64, 2 Cu 2.64, 8 Zn 2.73-2.76
Zn (0.0000, 0.3262, 0.0066)  6 Zn 2.57-2.75, 3 Cu 2.62-2.80, 3 Ir 2.70-2.73
Zn (0.0000, 0.4975, 0.7500)  2 Cu 2.62, 2 Ir 2.65, 8 Zn 2.71-2.76
Cu (0.0000, 0.1622, 0.2500)  10 Zn 2.62-2.80, 2 Ir 2.75
Ir (0.0000, 0.1612, 0.7500)  10 Zn 2.64-2.73, 2 Cu 2.75


This record from Alexandria via LeMat-Bulk describes a geometry-optimized Zn3Cu6Ir structure. The functional is PBE.

Cell: 8.8884 8.8884 11.9566 Å, 90.00 90.00 120.00°
Closest atoms and distances in Å follow each position.
Space group R-3 (No. 148, hexagonal axes)
Symmetry-distinct sites (fractional):
Zn (0.0005, 0.4459, 0.2059)  5 Cu 2.43-2.65, 1 Ir 2.65
Cu (0.0367, 0.5751, 0.5908)  4 Zn 2.43-2.63, 3 Cu 2.46-2.71, 1 Ir 2.51
Cu (0.0503, 0.1853, 0.3144)  5 Cu 2.44-2.71, 1 Zn 2.65, 1 Ir 2.66
Ir (0.0000, 0.0000, 0.0000)  6 Cu 2.51
Ir (0.0000, 0.0000, 0.5000)  6 Zn 2.65, 6 Cu 2.66


This record from Alexandria via LeMat-Bulk describes a geometry-optimized ZnCu2Ir structure. The functional is PBE.

Cell: 5.9461 5.9461 5.9461 Å, 90.00 90.00 90.00°
Closest atoms and distances in Å follow each position.
Space group F-43m (No. 216)
Symmetry-distinct sites (fractional):
Zn (0.0000, 0.0000, 0.0000)  4 Cu 2.57, 4 Ir 2.57
Cu (0.0000, 0.0000, 0.5000)  4 Cu 2.57, 4 Ir 2.57
Cu (0.2500, 0.2500, 0.2500)  4 Cu 2.57, 4 Zn 2.57
Ir (0.2500, 0.2500, 0.7500)  4 Cu 2.57, 4 Zn 2.57


This record from Alexandria via LeMat-Bulk describes a geometry-optimized Zn6Cu2Ir structure. The functional is PBE.

Summary:
Energy relative to the lowest polymorph listed for this composition, kJ/mol of formula units: 68

Cell: 4.4350 7.1709 8.2588 Å, 90.00 90.00 90.00°
Closest atoms and distances in Å follow each position.
Space group Immm (No. 71)
Symmetry-distinct sites (fractional):
Zn (0.0000, 0.1831, 0.1659)  3 Cu 2.58-2.64, 7 Zn 2.63-2.79, 1 Ir 2.65
Zn (0.0000, 0.1913, 0.5000)  2 Ir 2.61, 2 Cu 2.62, 7 Zn 2.74-2.76
Cu (0.0000, 0.5000, 0.3296)  8 Zn 2.58-2.64, 1 Ir 2.72, 1 Cu 2.82
Ir (0.0000, 0.5000, 0.0000)  8 Zn 2.61-2.65, 2 Cu 2.72


This record from Alexandria via LeMat-Bulk describes a geometry-optimized ZnCu2Ir structure. The functional is PBE.

Cell: 2.7814 4.4648 8.6532 Å, 90.00 90.00 90.00°
Closest atoms and distances in Å follow each position.
Space group Cmmm (No. 65)
Symmetry-distinct sites (fractional):
Zn (0.0000, 0.0000, 0.0000)  4 Cu 2.53, 6 Zn 2.63-2.78
Cu (0.0000, 0.5000, 0.2445)  2 Zn 2.53, 2 Ir 2.61, 6 Cu 2.63-2.78
Ir (0.0000, 0.0000, 0.5000)  4 Cu 2.61, 6 Ir 2.63-2.78


This record from Alexandria via LeMat-Bulk describes a geometry-optimized ZnCu5Ir structure. The functional is PBE.

Cell: 9.9806 7.9280 5.7189 Å, 90.00 124.77 90.00°
Closest atoms and distances in Å follow each position.
Space group C2/c (No. 15)
Symmetry-distinct sites (fractional):
Zn (0.0000, 0.2158, 0.2500)  6 Cu 2.52-2.56, 2 Ir 2.67
Cu (0.0000, 0.2186, 0.7500)  6 Cu 2.50-2.57, 2 Ir 2.65
Cu (0.2317, 0.0002, 0.4821)  5 Cu 2.44-2.57, 1 Zn 2.56, 2 Ir 2.62-2.63
Cu (0.2498, 0.2500, 0.2470)  6 Cu 2.44-2.50, 2 Zn 2.52-2.53
Ir (0.0000, 0.5000, 0.0000)  10 Cu 2.62-2.85, 2 Zn 2.67, 2 Ir 2.86


This record from Alexandria via LeMat-Bulk describes a geometry-optimized Zn5Cu2Ir structure. The functional is PBE.

Summary:
Energy relative to the lowest polymorph listed for this composition, kJ/mol of formula units: 78

Cell: 6.6609 6.6609 10.2142 Å, 90.00 90.00 90.00°
Closest atoms and distances in Å follow each position.
Space group I4/mcm (No. 140)
Symmetry-distinct sites (fractional):
Zn (0.0000, 0.0000, 0.0000)  2 Ir 2.55, 4 Cu 2.59
Zn (0.1550, 0.3450, 0.1599)  3 Cu 2.54-2.56, 3 Zn 2.57-2.77, 2 Ir 2.68
Cu (0.1357, 0.3643, 0.5000)  8 Zn 2.54-2.59, 1 Cu 2.56
Ir (0.0000, 0.0000, 0.2500)  10 Zn 2.55-2.68


This record from Alexandria via LeMat-Bulk describes a geometry-optimized Zn3Cu7Ir structure. The functional is PBE.

Cell: 5.1770 7.4275 7.7081 Å, 90.00 99.61 90.00°
Closest atoms and distances in Å follow each position.
Space group Cm (No. 8)
Symmetry-distinct sites (fractional):
Zn (0.0000, 0.0000, 0.0000)  2 Ir 2.58-2.59, 9 Cu 2.60-2.68
Zn (0.1197, 0.1991, 0.4625)  6 Cu 2.44-2.71, 2 Zn 2.70
Cu (0.0623, 0.5000, 0.3346)  2 Zn 2.44, 5 Cu 2.55-2.66, 1 Ir 2.61
Cu (0.2027, 0.2472, 0.8158)  7 Cu 2.57-2.69, 2 Ir 2.62-2.64, 3 Zn 2.64-2.71
Cu (0.2890, 0.2521, 0.1695)  5 Cu 2.55-2.69, 4 Zn 2.59-2.62, 2 Ir 2.61-2.66
Cu (0.3983, 0.5000, 0.6503)  7 Cu 2.46-2.74, 3 Zn 2.48-2.66
Cu (0.4241, 0.0000, 0.6515)  2 Zn 2.45, 7 Cu 2.46-2.72, 1 Ir 2.59
Ir (0.4991, 0.0000, 0.9921)  2 Zn 2.58-2.59, 10 Cu 2.59-2.66


Number 1: raw total energy -4.74 eV per atom, density 13.13 g/cm³, calculated formation energy 2 kJ/mol of formula units. Number 2: raw total energy -3.46 eV per atom, density 9.88 g/cm³, calculated formation energy -78 kJ/mol of formula units. Number 3: raw total energy -3.41 eV per atom, density 9.16 g/cm³, calculated formation energy 236 kJ/mol of formula units. Number 4: raw total energy -4.59 eV per atom, density 12.01 g/cm³, calculated formation energy -2 kJ/mol of formula units. Number 5: raw total energy -3.14 eV per atom, density 10.28 g/cm³, calculated formation energy -76 kJ/mol of formula units. Number 6: raw total energy -3.63 eV per atom, density 9.37 g/cm³, calculated formation energy 97 kJ/mol of formula units. Number 7: raw total energy -4.60 eV per atom, density 12.15 g/cm³, calculated formation energy -8 kJ/mol of formula units. Number 8: raw total energy -2.75 eV per atom, density 9.00 g/cm³, calculated formation energy -4 kJ/mol of formula units. Number 9: raw total energy -4.51 eV per atom, density 11.89 g/cm³, calculated formation energy 28 kJ/mol of formula units. Number 10: raw total energy -4.24 eV per atom, density 10.28 g/cm³, calculated formation energy 88 kJ/mol of formula units. Number 11: raw total energy -2.97 eV per atom, density 9.47 g/cm³, calculated formation energy -36 kJ/mol of formula units. Number 12: raw total energy -3.76 eV per atom, density 9.47 g/cm³, calculated formation energy 2 kJ/mol of formula units.